Record 1
## BaLi2Cd4Ga (PBE)

Data for a relaxed BaLi2Cd4Ga crystal.

Cell: 10.850 10.850 10.850 Å, 25.05 25.05 25.05°
Fractional coordinates of all 8 atoms:
Ba  0.000  0.000  0.000
Li  0.227  0.227  0.227
Li  0.773  0.773  0.773
Cd  0.127  0.127  0.127
Cd  0.408  0.408  0.408
Cd  0.592  0.592  0.592
Cd  0.873  0.873  0.873
Ga  0.500  0.500  0.500

Computed properties:
energy of formation from the pure elements = -0.202 eV per atom

=====

Record 2
## BaHgSbI2 (PBE)

Data for a relaxed BaHgSbI2 crystal.

Cell: 6.139 6.139 5.600 Å, 90.00 90.00 90.00°
Fractional coordinates of all 5 atoms:
Ba  0.000  0.000  0.000
Hg  0.500  0.500  0.500
Sb  0.500  0.500  0.000
I  0.000  0.500  0.500
I  0.500  0.000  0.500

Computed properties:
excess energy over the best structure of this formula in the dataset = 0.00 eV/f.u.
formation energy without anion corrections = -0.423 eV/atom

=====

Record 3
## BeMoAu (PBE)

Data for a relaxed BeMoAu crystal.

Cell: 3.617 3.617 6.665 Å, 90.00 90.00 90.00°
Fractional coordinates of all 6 atoms:
Be  0.250  0.250  0.216
Be  0.750  0.750  0.784
Mo  0.250  0.750  0.500
Mo  0.750  0.250  0.500
Au  0.250  0.250  0.857
Au  0.750  0.750  0.143

Computed properties:
excess energy over the best structure of this formula in the dataset = 0.10 eV/f.u.
energy of formation from the pure elements = 0.125 eV per atom

=====

Here are the calculated E_tot numbers, same order: -1.7571, -2.3127, -5.8194 (eV per atom).